(1)
Here is a relaxed structure of TcPRhO2 from Alexandria. Energies are from PBE.

POSCAR file:
```
TcPRhO2
1.0
3.684 0.000 0.000
0.000 3.684 0.000
0.000 0.000 5.343
Rh O P Tc
1 2 1 1
Direct
0.500 0.500 0.500
0.000 0.500 0.000
0.500 0.000 0.000
0.000 0.000 0.500
0.000 0.000 0.000
```

## Properties
- ΔE_f (raw): -0.40 eV/atom
- D(E_F): 0.62 states/eV per atom
- Mass density: 6.04 g/cm3
- Relative energy among the computed polymorphs: 0 meV/atom
- M_tot: 0.891 Bohr magnetons per cell

=====

(2)
Here is a relaxed structure of TcP2RhO from Alexandria. Energies are from PBE.

POSCAR file:
```
TcP2RhO
1.0
4.705 0.000 0.000
0.000 4.705 0.000
0.000 0.000 3.626
O P Rh Tc
1 2 1 1
Direct
0.000 0.000 0.500
0.500 0.000 0.000
0.000 0.500 0.000
0.500 0.500 0.500
0.000 0.000 0.000
```

## Properties
- ΔE_f (raw): 0.16 eV/atom
- D(E_F): 0.93 states/eV per atom
- Mass density: 5.77 g/cm3
- Relative energy among the computed polymorphs: 0 meV/atom
- M_tot: 0.000 Bohr magnetons per cell

=====

(3)
Here is a relaxed structure of TcPRhO2 from Alexandria. Energies are from PBE.

POSCAR file:
```
TcPRhO2
1.0
-0.700 3.536 -0.072
-0.712 -0.239 -4.799
-3.497 -0.681 0.553
Rh O P Tc
1 2 1 1
Direct
0.000 0.500 0.000
0.500 0.000 0.000
0.000 0.000 0.500
0.000 0.000 0.000
0.500 0.500 0.500
```

## Properties
- ΔE_f (raw): 0.16 eV/atom
- D(E_F): 0.84 states/eV per atom
- Mass density: 6.94 g/cm3
- Relative energy among the computed polymorphs: 568 meV/atom
- M_tot: 3.026 Bohr magnetons per cell

=====

(4)
Here is a relaxed structure of TiPRhO2 from Alexandria. Energies are from PBE.

POSCAR file:
```
TiPRhO2
1.0
-3.231 -1.461 -0.938
-0.073 -1.866 3.157
-2.630 4.243 2.447
O Ti Rh P
2 1 1 1
Direct
0.000 0.500 0.000
0.500 0.000 0.000
0.000 0.000 0.000
0.500 0.500 0.500
0.000 0.000 0.500
```

## Properties
- ΔE_f (raw): -1.00 eV/atom
- D(E_F): 1.02 states/eV per atom
- Mass density: 4.75 g/cm3
- Relative energy among the computed polymorphs: 0 meV/atom
- M_tot: 1.133 Bohr magnetons per cell

=====

(5)
Here is a relaxed structure of TiPRhO2 from Alexandria. Energies are from PBE.

POSCAR file:
```
TiPRhO2
1.0
3.802 0.000 0.000
0.000 3.802 0.000
0.000 0.000 4.971
P O Rh Ti
1 2 1 1
Direct
0.000 0.000 0.500
0.500 0.000 0.000
0.000 0.500 0.000
0.000 0.000 0.000
0.500 0.500 0.500
```

## Properties
- ΔE_f (raw): -0.27 eV/atom
- D(E_F): 1.30 states/eV per atom
- Mass density: 4.94 g/cm3
- Relative energy among the computed polymorphs: 730 meV/atom
- M_tot: 1.101 Bohr magnetons per cell

=====

(6)
Here is a relaxed structure of TiP2RhO from Alexandria. Energies are from PBE.

POSCAR file:
```
TiP2RhO
1.0
-3.810 -2.830 -0.851
2.811 -3.899 0.381
-0.678 -0.145 3.517
P Rh Ti O
2 1 1 1
Direct
0.500 0.000 0.000
0.000 0.500 0.000
0.500 0.500 0.500
0.000 0.000 0.000
0.000 0.000 0.500
```

## Properties
- ΔE_f (raw): -0.23 eV/atom
- D(E_F): 0.64 states/eV per atom
- Mass density: 4.56 g/cm3
- Relative energy among the computed polymorphs: 0 meV/atom
- M_tot: 0.000 Bohr magnetons per cell

=====

(7)
Here is a relaxed structure of TiP2RhO from Alexandria. Energies are from PBE.

POSCAR file:
```
TiP2RhO
1.0
-0.386 -2.088 -4.256
-0.860 -4.168 2.123
-3.584 0.724 -0.030
O P Ti Rh
1 2 1 1
Direct
0.000 0.000 0.500
0.000 0.500 0.000
0.500 0.000 0.000
0.500 0.500 0.500
0.000 0.000 0.000
```

## Properties
- ΔE_f (raw): 0.11 eV/atom
- D(E_F): 0.66 states/eV per atom
- Mass density: 4.59 g/cm3
- Relative energy among the computed polymorphs: 332 meV/atom
- M_tot: 0.000 Bohr magnetons per cell

=====

(8)
Here is a relaxed structure of TlPRhO2 from Alexandria. Energies are from PBE.

POSCAR file:
```
TlPRhO2
1.0
3.921 0.000 0.000
0.000 3.921 0.000
0.000 0.000 5.099
Tl Rh O P
1 1 2 1
Direct
0.500 0.500 0.500
0.000 0.000 0.000
0.500 0.000 0.000
0.000 0.500 0.000
0.000 0.000 0.500
```

## Properties
- ΔE_f (raw): -0.14 eV/atom
- D(E_F): 0.49 states/eV per atom
- Mass density: 7.84 g/cm3
- Relative energy among the computed polymorphs: 0 meV/atom
- M_tot: 1.788 Bohr magnetons per cell

=====

(9)
Here is a relaxed structure of TlP2RhO8 from Alexandria. Energies are from PBE.

POSCAR file:
```
TlP2RhO8
1.0
4.865 0.000 0.000
2.432 4.213 0.000
2.432 1.404 8.627
O Rh P Tl
8 1 2 1
Direct
0.395 0.739 0.866
0.000 0.605 0.134
0.000 0.395 0.866
0.739 0.000 0.866
0.210 0.210 0.371
0.605 0.261 0.134
0.261 0.000 0.134
0.790 0.790 0.629
0.000 0.000 0.000
0.268 0.268 0.195
0.732 0.732 0.805
0.500 0.500 0.500
```

## Properties
- ΔE_f (raw): -1.51 eV/atom
- D(E_F): 0.60 states/eV per atom
- Mass density: 4.67 g/cm3
- M_tot: 1.588 Bohr magnetons per cell

=====

(10)
Here is a relaxed structure of TlPRhO2 from Alexandria. Energies are from PBE.

POSCAR file:
```
TlPRhO2
1.0
3.930 0.000 0.000
0.000 3.930 0.000
0.000 0.000 6.240
O Tl Rh P
2 1 1 1
Direct
0.500 0.000 0.000
0.000 0.500 0.000
0.000 0.000 0.000
0.500 0.500 0.500
0.000 0.000 0.500
```

## Properties
- ΔE_f (raw): 0.87 eV/atom
- D(E_F): 0.75 states/eV per atom
- Mass density: 6.38 g/cm3
- Relative energy among the computed polymorphs: 1011 meV/atom
- M_tot: 1.240 Bohr magnetons per cell

=====

(11)
Here is a relaxed structure of TmPRhO from Alexandria. Energies are from PBE.

POSCAR file:
```
TmPRhO
1.0
3.926 0.000 0.000
0.000 3.926 0.000
0.000 0.000 7.928
Tm P O Rh
2 2 2 2
Direct
0.000 0.500 0.368
0.500 0.000 0.632
0.500 0.000 0.165
0.000 0.500 0.835
0.000 0.000 0.500
0.500 0.500 0.500
0.000 0.000 0.000
0.500 0.500 0.000
```

## Properties
- ΔE_f (raw): -2.06 eV/atom
- D(E_F): 0.52 states/eV per atom
- Mass density: 8.67 g/cm3
- M_tot: 0.000 Bohr magnetons per cell